Record 1
{"formula": "TbPuAlO6", "functional": "PBE-GGA", "state": "optimized geometry", "formation_energy_uncorrected_ev_per_fu": -26.04, "spacegroup": "P-31c (163)", "magnetic_moment_mub_per_cell": 4.00, "density_g_cm3": 7.442, "cell": [[-2.131, 2.248, 4.229], [3.782, -3.586, 0.563], [6.809, 7.126, -0.358]], "species": ["O", "O", "O", "O", "O", "O", "O", "O", "O", "O", "O", "O", "Pu", "Pu", "Tb", "Tb", "Al", "Al"], "fractional_positions": [[0.654, 0.634, 0.141], [0.980, 0.346, 0.141], [0.654, 0.020, 0.359], [0.634, 0.654, 0.641], [0.020, 0.366, 0.641], [0.346, 0.366, 0.859], [0.366, 0.346, 0.359], [0.346, 0.980, 0.641], [0.634, 0.980, 0.859], [0.020, 0.654, 0.859], [0.366, 0.020, 0.141], [0.980, 0.634, 0.359], [0.667, 0.333, 0.750], [0.333, 0.667, 0.250], [0.000, 0.000, 0.000], [0.000, 0.000, 0.500], [0.667, 0.333, 0.250], [0.333, 0.667, 0.750]]}

***

Record 2
{"formula": "Be2GaFePb", "functional": "PBE-GGA", "state": "optimized geometry", "spacegroup": "P4/mmm (123)", "magnetic_moment_mub_per_cell": 2.50, "density_g_cm3": 5.490, "e_form_ev_per_atom": 1.350, "cell": [[-0.305, -3.272, 3.122], [4.257, -2.216, -1.907], [2.548, 2.461, 2.828]], "species": ["Pb", "Be", "Be", "Ga", "Fe"], "fractional_positions": [[0.000, 0.000, 0.000], [0.000, 0.000, 0.500], [0.500, 0.000, 0.000], [0.500, 0.500, 0.500], [0.000, 0.500, 0.000]]}

***

Record 3
{"formula": "RbBaPdO2", "functional": "PBE-GGA", "state": "optimized geometry", "formation_energy_uncorrected_ev_per_fu": -6.25, "spacegroup": "Cmme (67)", "magnetic_moment_mub_per_cell": 2.02, "density_g_cm3": 3.856, "cell": [[5.590, 0.000, 0.000], [0.000, 8.099, 0.000], [0.000, -4.049, 6.872]], "species": ["Rb", "Rb", "Ba", "Ba", "Pd", "Pd", "O", "O", "O", "O"], "fractional_positions": [[0.006, 0.250, 0.500], [0.994, 0.750, 0.500], [0.500, 0.750, 0.000], [0.500, 0.250, 0.000], [0.000, 0.000, 0.000], [0.000, 0.500, 0.000], [0.281, 0.088, 0.175], [0.281, 0.412, 0.825], [0.719, 0.588, 0.175], [0.719, 0.912, 0.825]]}